1) Here is an optimized crystal structure of Er3Ti from Alexandria. Energies are from PBE.

Space-group type: I4/mmm (139)

Lattice parameters (Å, degrees): 5.8051 5.8051 5.8051 131.54 131.54 70.96
Fractional coordinates of all 4 atoms:
Er 0.0000 0.0000 0.0000
Er 0.2500 0.7500 0.5000
Er 0.7500 0.2500 0.5000
Ti 0.5000 0.5000 0.0000



2) Here is an optimized crystal structure of Er3Ti from Alexandria. Energies are from PBE.

Space-group type: Imm2 (44)

Lattice parameters (Å, degrees): 6.3442 6.3442 6.3442 148.61 65.10 124.57
Fractional coordinates of all 4 atoms:
Er 0.0000 0.0000 0.0000
Er 0.4022 0.6350 0.7672
Er 0.8678 0.6350 0.2328
Ti 0.4722 0.9722 0.5000



We find 2) to be the most stable, with the next structure 0.027 eV/atom higher.



1) Here is an optimized crystal structure of Er2TiTl from Alexandria. Energies are from PBE.

Space-group type: R-3m (166)

Lattice parameters (Å, degrees): 11.3837 11.3837 11.3837 16.81 16.81 16.81
Fractional coordinates of all 4 atoms:
Er 0.0870 0.0870 0.0870
Er 0.9130 0.9130 0.9130
Ti 0.0000 0.0000 0.0000
Tl 0.5000 0.5000 0.5000



2) Here is an optimized crystal structure of Er2TiTl from Alexandria. Energies are from PBE.

Space-group type: P4/mmm (123)

Lattice parameters (Å, degrees): 3.5070 3.5070 8.2496 90.00 90.00 90.00
Fractional coordinates of all 4 atoms:
Er 0.0000 0.0000 0.2416
Er 0.0000 0.0000 0.7584
Ti 0.5000 0.5000 0.0000
Tl 0.5000 0.5000 0.5000



We find 2) to be the most stable, with the next structure 0.375 eV/atom higher.



1) Here is an optimized crystal structure of ErTm2Ti from Alexandria. Energies are from PBE.

Space-group type: P4/mmm (123)

Lattice parameters (Å, degrees): 4.7355 4.7355 4.7431 90.00 90.00 90.00
Fractional coordinates of all 4 atoms:
Er 0.0000 0.0000 0.0000
Tm 0.0000 0.5000 0.5000
Tm 0.5000 0.0000 0.5000
Ti 0.5000 0.5000 0.0000



2) Here is an optimized crystal structure of ErTm2Ti from Alexandria. Energies are from PBE.

Space-group type: R3m (160)

Lattice parameters (Å, degrees): 10.9306 10.9306 10.9306 17.78 17.78 17.78
Fractional coordinates of all 4 atoms:
Er 0.0000 0.0000 0.0000
Tm 0.2428 0.2428 0.2428
Tm 0.4243 0.4243 0.4243
Ti 0.8340 0.8340 0.8340



3) Here is an optimized crystal structure of ErTm2Ti from Alexandria. Energies are from PBE.

Space-group type: P4/mmm (123)

Lattice parameters (Å, degrees): 3.3574 3.3574 9.4119 90.00 90.00 90.00
Fractional coordinates of all 4 atoms:
Er 0.0000 0.0000 0.0000
Tm 0.5000 0.5000 0.2794
Tm 0.5000 0.5000 0.7206
Ti 0.0000 0.0000 0.5000



4) Here is an optimized crystal structure of ErTm2Ti from Alexandria. Energies are from PBE.

Space-group type: R-3m (166)

Lattice parameters (Å, degrees): 11.7050 11.7050 11.7050 16.31 16.31 16.31
Fractional coordinates of all 4 atoms:
Er 0.0000 0.0000 0.0000
Tm 0.4157 0.4157 0.4157
Tm 0.5843 0.5843 0.5843
Ti 0.5000 0.5000 0.5000



We find 3) to be the most stable, with the next structure 0.021 eV/atom higher.



1) Here is an optimized crystal structure of YEr2Ti from Alexandria. Energies are from PBE.

Space-group type: P4/mmm (123)

Lattice parameters (Å, degrees): 3.3876 3.3876 9.4856 90.00 90.00 90.00
Fractional coordinates of all 4 atoms:
Y 0.0000 0.0000 0.0000
Er 0.5000 0.5000 0.2826
Er 0.5000 0.5000 0.7174
Ti 0.0000 0.0000 0.5000



2) Here is an optimized crystal structure of YEr2Ti from Alexandria. Energies are from PBE.

Space-group type: R-3m (166)

Lattice parameters (Å, degrees): 11.1589 11.1589 11.1589 17.43 17.43 17.43
Fractional coordinates of all 4 atoms:
Y 0.0000 0.0000 0.0000
Er 0.2414 0.2414 0.2414
Er 0.7586 0.7586 0.7586
Ti 0.5000 0.5000 0.5000



We find 1) to be the most stable, with the next structure 0.038 eV/atom higher.



1) Here is an optimized crystal structure of ErTiZn2 from Alexandria. Energies are from PBE.

Space-group type: Fm-3m (225)

Lattice parameters (Å, degrees): 4.7399 4.7399 4.7399 60.00 60.00 60.00
Fractional coordinates of all 4 atoms:
Er 0.0000 0.0000 0.0000
Ti 0.5000 0.5000 0.5000
Zn 0.2500 0.2500 0.2500
Zn 0.7500 0.7500 0.7500



2) Here is an optimized crystal structure of ErTiZn2 from Alexandria. Energies are from PBE.

Space-group type: P4/mmm (123)

Lattice parameters (Å, degrees): 3.3357 3.3357 6.6828 90.00 90.00 90.00
Fractional coordinates of all 4 atoms:
Er 0.0000 0.0000 0.0000
Ti 0.0000 0.0000 0.5000
Zn 0.5000 0.5000 0.2883
Zn 0.5000 0.5000 0.7117



We find 2) to be the most stable, with the next structure 0.044 eV/atom higher.



1) Here is an optimized crystal structure of Er2ZrTi from Alexandria. Energies are from PBE.

Space-group type: P4/mmm (123)

Lattice parameters (Å, degrees): 4.5903 4.5903 4.6766 90.00 90.00 90.00
Fractional coordinates of all 4 atoms:
Er 0.0000 0.5000 0.0000
Er 0.5000 0.0000 0.0000
Zr 0.0000 0.0000 0.5000
Ti 0.5000 0.5000 0.5000



2) Here is an optimized crystal structure of Er2ZrTi from Alexandria. Energies are from PBE.

Space-group type: R3m (160)

Lattice parameters (Å, degrees): 10.6662 10.6662 10.6662 17.80 17.80 17.80
Fractional coordinates of all 4 atoms:
Er 0.0000 0.0000 0.0000
Er 0.1736 0.1736 0.1736
Zr 0.4202 0.4202 0.4202
Ti 0.5865 0.5865 0.5865



We find 1) to be the most stable, with the next structure 0.008 eV/atom higher.